{"formula": "Co2SiSb", "functional": "PBEsol", "state": "optimized geometry", "dft_energy_ev_per_cell": -26.25, "n_ef_per_ev_atom": 0.93, "magnetic_moment_mub_per_fu": 0.146, "formation_energy_uncorrected_kj_per_mol_fu": -46, "crystal_system": "orthorhombic", "cell": [[3.142, 0.000, 0.000], [0.000, 3.415, 0.000], [0.000, 0.000, 5.009]], "species": ["Co", "Co", "Si", "Sb"], "frac_coords": [[0.000, 0.000, 0.000], [0.500, 0.500, 0.324], [0.500, 0.500, 0.869], [0.000, 0.000, 0.508]]}